# 1
A plane-wave DFT calculation with PBE was carried out for RbP2CCl after structural relaxation.

Unit cell a=4.0440 b=4.0440 c=8.7431 alpha=90.00 beta=90.00 gamma=90.00
Closest atoms and distances in Å follow each position.
Space group P4/mmm (No. 123)
Symmetry-distinct sites (fractional):
Rb: 0.0000 0.0000 0.0000 (multiplicity 1)  4 Cl 2.86
P: 0.0000 0.5000 0.5000 (multiplicity 2)  2 C 2.02
C: 0.5000 0.5000 0.5000 (multiplicity 1)  4 P 2.02
Cl: 0.5000 0.5000 0.0000 (multiplicity 1)  4 Rb 2.86

- ρ: 2.26 g/cm3
- ΔE_f (raw): 535.5 meV per atom
- Crystal system: tetragonal

=====

# 2
A plane-wave DFT calculation with PBE was carried out for Ho4Tl2Ni after structural relaxation.

Unit cell a=6.5890 b=3.6675 c=8.5825 alpha=90.00 beta=106.55 gamma=90.00
Closest atoms and distances in Å follow each position.
Space group P2/m (No. 10)
Symmetry-distinct sites (fractional):
Ho: 0.0984 0.0000 0.2863 (multiplicity 2)  1 Ni 2.76
Ho: 0.3718 0.5000 0.6651 (multiplicity 2)  2 Ni 2.60
Tl: 0.2466 0.5000 0.9983 (multiplicity 2)  6 Ho 3.19-3.44, 2 Tl 3.26-3.33
Ni: 0.5000 0.0000 0.5000 (multiplicity 1)  6 Ho 2.60-2.76

- ρ: 9.41 g/cm3
- Energy relative to the elements: -0.189 eV per atom
- Crystal system: monoclinic

=====

# 3
A plane-wave DFT calculation with PBE was carried out for FeRe3 after structural relaxation.

Unit cell a=5.4174 b=7.6724 c=2.7351 alpha=90.00 beta=90.00 gamma=90.00
Closest atoms and distances in Å follow each position.
Space group Cmmm (No. 65)
Symmetry-distinct sites (fractional):
Fe: 0.0000 0.0000 0.0000 (multiplicity 2)  10 Re 2.71-2.72, 2 Fe 2.74
Re: 0.0000 0.5000 0.0000 (multiplicity 2)  2 Fe 2.71, 10 Re 2.72-2.74
Re: 0.2500 0.2500 0.5000 (multiplicity 4)  8 Re 2.71-2.74, 4 Fe 2.72

- ρ: 17.95 g/cm3
- Energy relative to the elements: 0.111 eV per atom
- Crystal system: orthorhombic

=====

# 4
A plane-wave DFT calculation with PBE was carried out for La2MgIrO after structural relaxation.

Unit cell a=5.0318 b=5.0318 c=4.1131 alpha=90.00 beta=90.00 gamma=90.00
Closest atoms and distances in Å follow each position.
Space group P4/mmm (No. 123)
Symmetry-distinct sites (fractional):
La: 0.0000 0.5000 0.0000 (multiplicity 2)  2 O 2.52
Mg: 0.0000 0.0000 0.5000 (multiplicity 1)  2 O 2.06
Ir: 0.5000 0.5000 0.5000 (multiplicity 1)  8 La 3.25, 4 Mg 3.56
O: 0.0000 0.0000 0.0000 (multiplicity 1)  2 Mg 2.06

- ρ: 8.14 g/cm3
- ΔE_f (raw): -1300.8 meV per atom
- Crystal system: tetragonal

=====

# 5
A plane-wave DFT calculation with PBE was carried out for Ac2BiPd6Au after structural relaxation.

Unit cell a=12.6716 b=5.5668 c=8.6897 alpha=90.00 beta=132.50 gamma=90.00
Closest atoms and distances in Å follow each position.
Space group C2/m (No. 12)
Symmetry-distinct sites (fractional):
Ac: 0.0197 0.0000 0.2856 (multiplicity 4)  7 Pd 3.14-3.37, 2 Au 3.45
Bi: 0.0000 0.5000 0.0000 (multiplicity 2)  6 Pd 2.73-2.78
Pd: 0.1841 0.5000 0.9298 (multiplicity 4)  1 Au 2.76, 1 Bi 2.78, 6 Pd 2.79-3.05
Pd: 0.2486 0.2453 0.2745 (multiplicity 8)  1 Au 2.72, 4 Pd 2.73-2.89, 1 Bi 2.73
Au: 0.0000 0.5000 0.5000 (multiplicity 2)  6 Pd 2.72-2.76

- ρ: 11.01 g/cm3
- Energy relative to the elements: -0.595 eV per atom
- Crystal system: monoclinic

=====

# 6
A plane-wave DFT calculation with PBE was carried out for LaMgC3 after structural relaxation.

Unit cell a=4.4729 b=4.4729 c=4.4729 alpha=90.00 beta=90.00 gamma=90.00
Closest atoms and distances in Å follow each position.
Space group Pm-3m (No. 221)
Symmetry-distinct sites (fractional):
La: 0.0000 0.0000 0.0000 (multiplicity 1)  6 C 2.24
Mg: 0.5000 0.5000 0.5000 (multiplicity 1)  12 C 3.16
C: 0.0000 0.0000 0.5000 (multiplicity 3)  2 La 2.24

- ρ: 3.70 g/cm3
- Energy relative to the elements: 2.483 eV per atom
- Crystal system: cubic

=====

# 7
A plane-wave DFT calculation with PBE was carried out for TmPa5Tc6 after structural relaxation.

Unit cell a=4.7441 b=6.8959 c=7.8239 alpha=90.00 beta=107.53 gamma=90.00
Closest atoms and distances in Å follow each position.
Space group P2/m (No. 10)
Symmetry-distinct sites (fractional):
Tm: 0.0000 0.0000 0.0000 (multiplicity 1)  8 Tc 3.03-3.13
Pa: 0.0000 0.5000 0.0000 (multiplicity 1)  8 Tc 2.84-3.15
Pa: 0.3353 0.5000 0.6718 (multiplicity 2)  8 Tc 2.90-2.96
Pa: 0.3359 0.0000 0.6727 (multiplicity 2)  8 Tc 2.93-3.09
Tc: 0.1758 0.2473 0.3513 (multiplicity 4)  7 Pa 2.93-3.15, 1 Tm 3.13, 2 Tc 3.25
Tc: 0.5000 0.2738 0.0000 (multiplicity 2)  6 Pa 2.84-3.09, 2 Tm 3.03, 1 Tc 3.12

- ρ: 13.01 g/cm3
- Energy relative to the elements: -0.200 eV per atom
- Crystal system: monoclinic

=====

# 8
A plane-wave DFT calculation with PBE was carried out for Tl5Hg2Pd12 after structural relaxation.

Unit cell a=13.9367 b=7.4982 c=7.4309 alpha=90.00 beta=93.53 gamma=90.00
Closest atoms and distances in Å follow each position.
Space group C2/m (No. 12)
Symmetry-distinct sites (fractional):
Tl: 0.0000 0.0000 0.0000 (multiplicity 2)  6 Pd 2.62-2.75
Tl: 0.1793 0.5000 0.3133 (multiplicity 4)  8 Pd 2.75-2.97
Tl: 0.2247 0.0000 0.0918 (multiplicity 4)  7 Pd 2.73-2.89
Hg: 0.0000 0.2010 0.5000 (multiplicity 4)  6 Pd 2.81-2.87, 1 Hg 3.02
Pd: 0.0180 0.5000 0.7277 (multiplicity 4)  4 Pd 2.74-2.91, 1 Tl 2.75, 2 Hg 2.81
Pd: 0.1068 0.3088 0.0050 (multiplicity 8)  5 Pd 2.74-3.07, 4 Tl 2.75-2.89
Pd: 0.1216 0.0000 0.7442 (multiplicity 4)  3 Tl 2.62-2.88, 2 Pd 2.66, 2 Hg 2.84
Pd: 0.1888 0.3090 0.6309 (multiplicity 8)  4 Pd 2.66-2.91, 3 Tl 2.73-2.97, 1 Hg 2.87

- ρ: 11.57 g/cm3
- Energy relative to the elements: -0.019 eV per atom
- Crystal system: monoclinic

=====

- Look up the ρ of the third one.
  17.95 g/cm3